First-principles (GGA-PBE) data for a relaxed structure of AlCuW2, as listed in the Alexandria database. Values from VASP.

```
&SYSTEM
  ibrav = 0, nat = 4, ntyp = 3
/
ATOMIC_SPECIES
Al 26.98 Al.upf
Cu 63.55 Cu.upf
W 183.84 W.upf
ATOMIC_POSITIONS angstrom
Al 0.000 0.000 0.000
Cu 0.000 0.000 2.644
W 1.342 2.099 1.308
W 1.342 2.099 3.979
CELL_PARAMETERS angstrom
2.685 0.000 0.000
0.000 4.199 0.000
0.000 0.000 5.287
```

Results
The value obtained for the energy is -33.13 eV per formula unit. The value obtained for the formation energy is 0.155 eV per atom. The space-group type is Pmmm (47).

***

First-principles (GGA-PBE) data for a relaxed structure of AlZnCuW2, as listed in the Alexandria database. Values from VASP.

```
&SYSTEM
  ibrav = 0, nat = 5, ntyp = 4
/
ATOMIC_SPECIES
Al 26.98 Al.upf
Zn 65.41 Zn.upf
Cu 63.55 Cu.upf
W 183.84 W.upf
ATOMIC_POSITIONS angstrom
Al 0.000 0.000 0.000
Zn 2.293 2.293 0.000
Cu 2.293 2.293 2.143
W 0.000 2.293 2.143
W 2.293 0.000 2.143
CELL_PARAMETERS angstrom
4.585 0.000 0.000
0.000 4.585 0.000
0.000 0.000 4.287
```

Results
The value obtained for the energy is -27.88 eV per formula unit. The value obtained for the formation energy is 1.428 eV per atom. The space-group type is P4/mmm (123).